Here is a geometry-optimized MoRuBr3 structure from the Alexandria database. Energies are from PBEsol.

a = 5.071 Å, b = 5.071 Å, c = 5.071 Å
α = 90.00°, β = 90.00°, γ = 90.00°
Element x y z (fractional)
Mo 0.000 0.000 0.000
Ru 0.500 0.500 0.500
Br 0.000 0.000 0.500
Br 0.000 0.500 0.000
Br 0.500 0.000 0.000

Computed properties:
SG ... Pm-3m
E_form (uncorrected) ... 1.124 eV per atom
VASP energy ... -0.1612 hartree per atom

Here is a geometry-optimized CaTe2Pt structure from the Alexandria database. Energies are from PBEsol.

a = 4.913 Å, b = 4.913 Å, c = 3.684 Å
α = 90.00°, β = 90.00°, γ = 90.00°
Element x y z (fractional)
Ca 0.000 0.000 0.000
Te 0.000 0.500 0.500
Te 0.500 0.000 0.500
Pt 0.500 0.500 0.000

Computed properties:
SG ... P4/mmm
E_form (uncorrected) ... -0.576 eV per atom
VASP energy ... -0.1695 hartree per atom

Here is a geometry-optimized Li2Cr3CuO8 structure from the Alexandria database. Energies are from PBEsol.

a = 5.818 Å, b = 5.818 Å, c = 5.818 Å
α = 59.06°, β = 59.06°, γ = 59.06°
Element x y z (fractional)
Li 0.124 0.124 0.124
Li 0.876 0.876 0.876
Cr 0.000 0.500 0.500
Cr 0.500 0.000 0.500
Cr 0.500 0.500 0.000
Cu 0.500 0.500 0.500
O 0.254 0.254 0.711
O 0.254 0.711 0.254
O 0.262 0.262 0.262
O 0.289 0.746 0.746
O 0.711 0.254 0.254
O 0.738 0.738 0.738
O 0.746 0.289 0.746
O 0.746 0.746 0.289

Computed properties:
SG ... R-3m
E_form (uncorrected) ... -1.742 eV per atom
VASP energy ... -0.2766 hartree per atom

Here is a geometry-optimized CaAgSe2 structure from the Alexandria database. Energies are from PBEsol.

a = 3.898 Å, b = 3.674 Å, c = 6.722 Å
α = 90.00°, β = 91.27°, γ = 90.00°
Element x y z (fractional)
Ca 0.000 0.000 0.000
Ag 0.500 0.000 0.500
Se 0.496 0.500 0.773
Se 0.504 0.500 0.227

Computed properties:
SG ... P2/m
E_form (uncorrected) ... -0.866 eV per atom
VASP energy ... -0.1526 hartree per atom

Here is a geometry-optimized AgSb structure from the Alexandria database. Energies are from PBEsol.

a = 7.265 Å, b = 7.265 Å, c = 4.087 Å
α = 90.00°, β = 90.00°, γ = 156.07°
Element x y z (fractional)
Ag 0.200 0.800 0.750
Ag 0.800 0.200 0.250
Sb 0.411 0.589 0.750
Sb 0.589 0.411 0.250

Computed properties:
SG ... Cmcm
E_form (uncorrected) ... 0.054 eV per atom
VASP energy ... -0.1426 hartree per atom

Here is a geometry-optimized La3TlC structure from the Alexandria database. Energies are from PBEsol.

a = 5.162 Å, b = 5.162 Å, c = 5.162 Å
α = 90.00°, β = 90.00°, γ = 90.00°
Element x y z (fractional)
La 0.000 0.000 0.500
La 0.000 0.500 0.000
La 0.500 0.000 0.000
Tl 0.500 0.500 0.500
C 0.000 0.000 0.000

Computed properties:
Formation enthalpy at 0 K ... -143 kJ/mol of formula units
SG ... Pm-3m
VASP energy ... -0.2190 hartree per atom

Here is a geometry-optimized Tc3P structure from the Alexandria database. Energies are from PBEsol.

a = 7.113 Å, b = 7.113 Å, c = 7.113 Å
α = 96.29°, β = 96.29°, γ = 141.36°
Element x y z (fractional)
Tc 0.062 0.020 0.603
Tc 0.135 0.462 0.623
Tc 0.180 0.374 0.982
Tc 0.392 0.197 0.018
Tc 0.417 0.459 0.397
Tc 0.488 0.865 0.327
Tc 0.538 0.161 0.673
Tc 0.541 0.938 0.958
Tc 0.626 0.608 0.806
Tc 0.803 0.820 0.194
Tc 0.839 0.512 0.377
Tc 0.980 0.583 0.042
P 0.038 0.713 0.742
P 0.287 0.029 0.325
P 0.704 0.962 0.675
P 0.971 0.296 0.258

Computed properties:
Formation enthalpy at 0 K ... -150 kJ/mol of formula units
SG ... I-4
VASP energy ... -0.3780 hartree per atom

Here is a geometry-optimized HfZr3Os structure from the Alexandria database. Energies are from PBEsol.

a = 4.975 Å, b = 4.975 Å, c = 4.975 Å
α = 90.00°, β = 90.00°, γ = 90.00°
Element x y z (fractional)
Hf 0.000 0.000 0.000
Zr 0.000 0.500 0.500
Zr 0.500 0.000 0.500
Zr 0.500 0.500 0.000
Os 0.500 0.500 0.500

Computed properties:
Formation enthalpy at 0 K ... 244 kJ/mol of formula units
SG ... Pm-3m
VASP energy ... -0.3488 hartree per atom

Here is a geometry-optimized Ho2GaOs structure from the Alexandria database. Energies are from PBEsol.

a = 4.830 Å, b = 4.830 Å, c = 4.830 Å
α = 60.00°, β = 60.00°, γ = 60.00°
Element x y z (fractional)
Ho 0.250 0.250 0.250
Ho 0.750 0.750 0.750
Ga 0.000 0.000 0.000
Os 0.500 0.500 0.500

Computed properties:
Formation enthalpy at 0 K ... -148 kJ/mol of formula units
SG ... Fm-3m
VASP energy ... -0.2480 hartree per atom

Here is a geometry-optimized NbFe3Sb structure from the Alexandria database. Energies are from PBEsol.

a = 4.493 Å, b = 4.493 Å, c = 4.493 Å
α = 90.00°, β = 90.00°, γ = 90.00°
Element x y z (fractional)
Nb 0.000 0.000 0.000
Fe 0.000 0.000 0.500
Fe 0.000 0.500 0.000
Fe 0.500 0.000 0.000
Sb 0.500 0.500 0.500

Computed properties:
SG ... Pm-3m
E_form (uncorrected) ... 1.412 eV per atom
VASP energy ... -0.2588 hartree per atom